First-principles (PBE) data for an optimized crystal structure of InCu2Sb, as listed in Alexandria.

As for the symmetry: Imm2. The value obtained for the density of states at the Fermi level is 1.309 states/eV per cell. The value obtained for the total energy is -14.466 eV for the cell shown. Its total magnetic moment is 0.000 μB/atom. For the uncorrected formation energy, the calculation gives 147 meV/atom.

Structure (POSCAR):
```
InCu2Sb
1.0
6.4689 -0.0153 0.0012
4.3169 4.8178 -0.0012
-5.0409 -3.1917 2.4997
Cu Sb In
2 1 1
direct
0.1847 0.6847 0.5000
0.9942 0.9942 0.0000
0.7909 0.2909 0.5000
0.5302 0.5302 0.0000
```